Below is crystalline Li6FeO4F at its relaxed geometry, with properties calculated at the PBE+U level.

POSCAR file:
```
Li6FeO4F
1.0
-6.2271 -5.1936 5.0481
0.6407 -3.8275 -3.1474
3.8498 -3.4577 1.1917
O Li F Fe
8 12 2 2
Direct
0.7495 0.2116 0.9936
0.1205 0.1285 0.3050
0.5976 0.5673 0.2794
0.0976 0.4327 0.7206
0.8939 0.5888 0.2494
0.2495 0.7884 0.0064
0.3939 0.4112 0.7506
0.6205 0.8715 0.6950
0.2450 0.7876 0.6231
0.4493 0.7357 0.9755
0.0065 0.7687 0.4404
0.0020 0.2591 0.5127
0.5556 0.3169 0.0237
0.2448 0.4172 0.3883
0.5065 0.2313 0.5596
0.5020 0.7409 0.4873
0.0556 0.6831 0.9763
0.7448 0.5828 0.6117
0.7450 0.2124 0.3769
0.9493 0.2643 0.0245
0.3972 0.1010 0.3343
0.8972 0.8990 0.6657
0.7382 0.8199 0.0117
0.2382 0.1801 0.9883
```

Summary:
symmetry = P2_1 (4)
M_tot = 0.417 μB/atom
VASP energy = -0.1892 Ha/atom